No. 1
The following is a DFT calculation (PBE-GGA) of crystalline Ca2PmYTe4 at its relaxed geometry.

Properties
space group: P2/m
energy relative to the elements, uncorrected: -1.488 eV per atom
size of the total moment: 0.00 μB/atom

Unit cell a=4.420 b=7.655 c=7.829 alpha=109.06 beta=90.00 gamma=90.00
Atoms (fractional coordinates):
Ca (0.500, 0.000, 0.500)
Ca (0.000, 0.500, 0.500)
Pm (0.500, 0.500, 0.000)
Y (0.000, 0.000, 0.000)
Te (0.500, 0.245, 0.248)
Te (0.500, 0.755, 0.752)
Te (0.000, 0.245, 0.749)
Te (0.000, 0.755, 0.251)

No. 2
The following is a DFT calculation (PBE-GGA) of crystalline In2PBr2 at its relaxed geometry.

Properties
space group: I4/mmm
energy relative to the elements, uncorrected: 0.198 eV per atom
size of the total moment: 0.60 μB/atom

Unit cell a=5.515 b=5.515 c=7.675 alpha=68.94 beta=68.94 gamma=90.00
Atoms (fractional coordinates):
P (0.000, 0.000, 0.000)
Br (0.750, 0.250, 0.500)
Br (0.250, 0.750, 0.500)
In (0.361, 0.361, 0.277)
In (0.639, 0.639, 0.723)

No. 3
The following is a DFT calculation (PBE-GGA) of crystalline Sc5Ag2 at its relaxed geometry.

Properties
space group: Ibam
formation enthalpy at 0 K: -103 meV/atom
size of the total moment: 0.00 μB/atom

Unit cell a=6.362 b=6.929 c=8.519 alpha=114.00 beta=111.93 gamma=90.00
Atoms (fractional coordinates):
Sc (0.089, 0.243, 0.179)
Sc (0.911, 0.757, 0.821)
Sc (0.589, 0.936, 0.179)
Sc (0.411, 0.064, 0.821)
Sc (0.477, 0.727, 0.453)
Sc (0.023, 0.273, 0.547)
Sc (0.523, 0.273, 0.547)
Sc (0.977, 0.727, 0.453)
Sc (0.750, 0.500, 0.000)
Sc (0.250, 0.500, 0.000)
Ag (0.378, 0.642, 0.756)
Ag (0.622, 0.358, 0.244)
Ag (0.878, 0.115, 0.756)
Ag (0.122, 0.885, 0.244)

No. 4
The following is a DFT calculation (PBE-GGA) of crystalline Ti3Ga at its relaxed geometry.

Properties
space group: P6_3/mmc
formation enthalpy at 0 K: -322 meV/atom
size of the total moment: 0.00 μB/atom

Unit cell a=5.694 b=5.694 c=4.646 alpha=90.00 beta=90.00 gamma=120.00
Atoms (fractional coordinates):
Ti (0.170, 0.340, 0.750)
Ti (0.830, 0.170, 0.250)
Ti (0.830, 0.660, 0.250)
Ti (0.170, 0.830, 0.750)
Ti (0.660, 0.830, 0.750)
Ti (0.340, 0.170, 0.250)
Ga (0.667, 0.333, 0.750)
Ga (0.333, 0.667, 0.250)

No. 5
The following is a DFT calculation (PBE-GGA) of crystalline TiBPb3 at its relaxed geometry.

Properties
space group: Pm-3m
formation enthalpy at 0 K: 1190 meV/atom
size of the total moment: 0.00 μB/atom
E above lowest polymorph: 185 meV/atom

Unit cell a=5.400 b=5.400 c=5.400 alpha=90.00 beta=90.00 gamma=90.00
Atoms (fractional coordinates):
Pb (0.000, 0.500, 0.000)
Pb (0.000, 0.000, 0.500)
Pb (0.500, 0.000, 0.000)
B (0.500, 0.500, 0.500)
Ti (0.000, 0.000, 0.000)

No. 6
The following is a DFT calculation (PBE-GGA) of crystalline TbDy4Zn at its relaxed geometry.

Properties
space group: P4/mmm
formation enthalpy at 0 K: -100 meV/atom
size of the total moment: 0.00 μB/atom
E above lowest polymorph: 0 meV/atom

Unit cell a=3.552 b=3.552 c=13.663 alpha=90.00 beta=90.00 gamma=90.00
Atoms (fractional coordinates):
Tb (0.000, 0.000, 0.000)
Dy (0.500, 0.500, 0.184)
Dy (0.000, 0.000, 0.630)
Dy (0.000, 0.000, 0.370)
Dy (0.500, 0.500, 0.816)
Zn (0.500, 0.500, 0.500)

No. 7
The following is a DFT calculation (PBE-GGA) of crystalline Y3Tm4ScS8 at its relaxed geometry.

Properties
space group: R-3m
energy relative to the elements, uncorrected: -1.936 eV per atom
size of the total moment: 0.00 μB/atom

Unit cell a=7.710 b=7.719 c=7.709 alpha=119.96 beta=120.00 gamma=90.00
Atoms (fractional coordinates):
Y (0.500, 0.500, 0.000)
Y (0.500, 0.500, 0.500)
Y (0.000, 0.500, 0.500)
Tm (0.500, 0.000, 0.000)
Tm (0.500, 0.000, 0.500)
Tm (0.000, 0.000, 0.000)
Tm (0.000, 0.000, 0.500)
Sc (0.000, 0.500, 0.000)
S (0.247, 0.752, 0.005)
S (0.247, 0.752, 0.494)
S (0.247, 0.242, 0.495)
S (0.758, 0.752, 0.005)
S (0.242, 0.248, 0.995)
S (0.753, 0.758, 0.505)
S (0.753, 0.248, 0.506)
S (0.753, 0.248, 0.995)

No. 8
The following is a DFT calculation (PBE-GGA) of crystalline KCeInS4 at its relaxed geometry.

Properties
space group: P2_1/m
energy relative to the elements, uncorrected: -1.202 eV per atom
size of the total moment: 0.02 μB/atom

Unit cell a=6.839 b=6.863 c=9.045 alpha=90.00 beta=109.19 gamma=90.00
Atoms (fractional coordinates):
K (0.732, 0.750, 0.949)
K (0.268, 0.250, 0.051)
Ce (0.783, 0.750, 0.448)
Ce (0.217, 0.250, 0.552)
In (0.242, 0.750, 0.333)
In (0.758, 0.250, 0.667)
S (0.021, 0.512, 0.700)
S (0.979, 0.012, 0.300)
S (0.979, 0.488, 0.300)
S (0.021, 0.988, 0.700)
S (0.459, 0.750, 0.168)
S (0.541, 0.250, 0.832)
S (0.497, 0.750, 0.597)
S (0.503, 0.250, 0.403)

No. 9
The following is a DFT calculation (PBE-GGA) of crystalline Ca4Eu2Rh at its relaxed geometry.

Properties
space group: I4/mmm
formation enthalpy at 0 K: -16 meV/atom
size of the total moment: 2.11 μB/atom

Unit cell a=5.521 b=5.521 c=10.207 alpha=74.31 beta=74.31 gamma=90.00
Atoms (fractional coordinates):
Eu (0.657, 0.657, 0.686)
Eu (0.343, 0.343, 0.314)
Ca (0.855, 0.855, 0.291)
Ca (0.145, 0.145, 0.709)
Ca (0.000, 0.500, 0.000)
Ca (0.500, 0.000, 0.000)
Rh (0.000, 0.000, 0.000)

No. 10
The following is a DFT calculation (PBE-GGA) of crystalline SmZr2Mn at its relaxed geometry.

Properties
space group: R-3m
formation enthalpy at 0 K: 367 meV/atom
size of the total moment: 0.19 μB/atom
E above lowest polymorph: 274 meV/atom

Unit cell a=3.243 b=3.243 c=10.344 alpha=80.98 beta=80.98 gamma=60.00
Atoms (fractional coordinates):
Mn (0.500, 0.500, 0.500)
Zr (0.106, 0.106, 0.682)
Zr (0.894, 0.894, 0.318)
Sm (0.000, 0.000, 0.000)

No. 11
The following is a DFT calculation (PBE-GGA) of crystalline NaSb2Rh2 at its relaxed geometry.

Properties
space group: I4/mmm
energy relative to the elements, uncorrected: -0.414 eV per atom
size of the total moment: 0.00 μB/atom
E above lowest polymorph: 0 meV/atom

Unit cell a=4.220 b=4.220 c=7.011 alpha=72.48 beta=72.48 gamma=90.00
Atoms (fractional coordinates):
Sb (0.371, 0.371, 0.258)
Sb (0.629, 0.629, 0.742)
Rh (0.750, 0.250, 0.500)
Rh (0.250, 0.750, 0.500)
Na (0.000, 0.000, 0.000)

No. 12
The following is a DFT calculation (PBE-GGA) of crystalline SrInAs2 at its relaxed geometry.

Properties
space group: I-42d
formation enthalpy at 0 K: -480 meV/atom
size of the total moment: 0.00 μB/atom

Unit cell a=7.747 b=7.747 c=6.640 alpha=54.31 beta=54.31 gamma=90.00
Atoms (fractional coordinates):
Sr (0.500, 0.500, 0.000)
Sr (0.250, 0.750, 0.500)
As (0.672, 0.125, 0.250)
As (0.078, 0.625, 0.250)
As (0.375, 0.328, 0.750)
As (0.875, 0.922, 0.750)
In (0.000, 0.000, 0.000)
In (0.750, 0.250, 0.500)

No. 13
The following is a DFT calculation (PBE-GGA) of crystalline PuPaTlPb at its relaxed geometry.

Properties
space group: F-43m
formation enthalpy at 0 K: 163 meV/atom
size of the total moment: 2.03 μB/atom

Unit cell a=5.417 b=5.417 c=5.417 alpha=60.00 beta=60.00 gamma=60.00
Atoms (fractional coordinates):
Pb (0.000, 0.000, 0.000)
Tl (0.500, 0.500, 0.500)
Pa (0.750, 0.750, 0.750)
Pu (0.250, 0.250, 0.250)

No. 14
The following is a DFT calculation (PBE-GGA) of crystalline Cr2CdW at its relaxed geometry.

Properties
space group: Cmm2
formation enthalpy at 0 K: 401 meV/atom
size of the total moment: 0.00 μB/atom

Unit cell a=2.686 b=2.686 c=8.864 alpha=90.00 beta=90.00 gamma=110.42
Atoms (fractional coordinates):
Cd (0.500, 0.500, 0.762)
Cr (0.000, 0.000, 0.034)
Cr (0.500, 0.500, 0.234)
W (0.000, 0.000, 0.470)

No. 15
The following is a DFT calculation (PBE-GGA) of crystalline Be2GePd8 at its relaxed geometry.

Properties
space group: Immm
formation enthalpy at 0 K: -295 meV/atom
size of the total moment: 0.00 μB/atom
E above lowest polymorph: 90 meV/atom

Unit cell a=3.973 b=6.922 c=6.984 alpha=119.71 beta=106.52 gamma=90.00
Atoms (fractional coordinates):
Be (0.194, 0.694, 0.388)
Be (0.806, 0.306, 0.612)
Ge (0.500, 0.000, 0.000)
Pd (0.664, 0.877, 0.328)
Pd (0.336, 0.549, 0.672)
Pd (0.138, 0.138, 0.276)
Pd (0.000, 0.318, 0.000)
Pd (0.862, 0.862, 0.724)
Pd (0.664, 0.451, 0.328)
Pd (0.336, 0.123, 0.672)
Pd (0.000, 0.682, 0.000)

No. 16
The following is a DFT calculation (PBE-GGA) of crystalline KH4Ru at its relaxed geometry.

Properties
space group: P2_1/c
size of the total moment: 0.17 μB/atom
E above lowest polymorph: 166 meV/atom

Unit cell a=4.538 b=4.507 c=5.949 alpha=90.00 beta=90.34 gamma=90.00
Atoms (fractional coordinates):
K (0.000, 0.000, 0.000)
K (0.500, 0.500, 0.000)
H (0.998, 0.525, 0.214)
H (0.502, 0.025, 0.786)
H (0.331, 0.334, 0.420)
H (0.169, 0.834, 0.580)
H (0.002, 0.475, 0.786)
H (0.498, 0.975, 0.214)
H (0.669, 0.666, 0.580)
H (0.831, 0.166, 0.420)
Ru (0.500, 0.000, 0.500)
Ru (0.000, 0.500, 0.500)

No. 17
The following is a DFT calculation (PBE-GGA) of crystalline Pm10Sn3Bi3 at its relaxed geometry.

Properties
space group: P-62m
formation enthalpy at 0 K: -743 meV/atom
size of the total moment: 0.00 μB/atom

Unit cell a=6.650 b=9.345 c=9.345 alpha=120.00 beta=90.00 gamma=90.00
Atoms (fractional coordinates):
Pm (0.254, 0.667, 0.333)
Pm (0.254, 0.333, 0.667)
Pm (0.746, 0.333, 0.667)
Pm (0.746, 0.667, 0.333)
Pm (0.500, 0.000, 0.758)
Pm (0.500, 0.758, 0.000)
Pm (0.500, 0.242, 0.242)
Pm (0.000, 0.000, 0.242)
Pm (0.000, 0.242, 0.000)
Pm (0.000, 0.758, 0.758)
Sn (0.500, 0.000, 0.391)
Sn (0.500, 0.391, 0.000)
Sn (0.500, 0.609, 0.609)
Bi (0.000, 0.000, 0.609)
Bi (0.000, 0.609, 0.000)
Bi (0.000, 0.391, 0.391)

No. 18
The following is a DFT calculation (PBE-GGA) of crystalline SbOsPb at its relaxed geometry.

Properties
space group: I4mm
energy relative to the elements, uncorrected: 0.355 eV per atom
size of the total moment: 0.00 μB/atom
E above lowest polymorph: 0 meV/atom

Unit cell a=7.037 b=7.037 c=3.242 alpha=76.69 beta=76.68 gamma=26.63
Atoms (fractional coordinates):
Os (0.013, 0.013, 0.987)
Pb (0.361, 0.361, 0.639)
Sb (0.626, 0.626, 0.374)

No. 19
The following is a DFT calculation (PBE-GGA) of crystalline LaO at its relaxed geometry.

Properties
space group: P4_2/mnm
energy relative to the elements, uncorrected: -2.715 eV per atom
size of the total moment: 0.37 μB/atom

Unit cell a=6.891 b=6.891 c=3.860 alpha=90.00 beta=90.00 gamma=90.00
Atoms (fractional coordinates):
La (0.309, 0.309, 0.000)
La (0.809, 0.191, 0.500)
La (0.191, 0.809, 0.500)
La (0.691, 0.691, 0.000)
O (0.347, 0.653, 0.000)
O (0.847, 0.847, 0.500)
O (0.153, 0.153, 0.500)
O (0.653, 0.347, 0.000)

No. 20
The following is a DFT calculation (PBE-GGA) of crystalline Ga2CuBr8 at its relaxed geometry.

Properties
space group: C2/c
energy relative to the elements, uncorrected: -0.650 eV per atom
size of the total moment: 0.10 μB/atom

Unit cell a=9.324 b=10.765 c=10.486 alpha=72.54 beta=63.60 gamma=64.34
Atoms (fractional coordinates):
Br (0.390, 0.743, 0.571)
Br (0.116, 0.944, 0.234)
Br (0.698, 0.959, 0.189)
Br (0.178, 0.224, 0.498)
Br (0.302, 0.041, 0.811)
Br (0.900, 0.276, 0.002)
Br (0.822, 0.776, 0.502)
Br (0.154, 0.459, 0.689)
Br (0.100, 0.724, 0.998)
Br (0.704, 0.757, 0.929)
Br (0.707, 0.444, 0.734)
Br (0.293, 0.556, 0.266)
Br (0.296, 0.243, 0.071)
Br (0.846, 0.541, 0.311)
Br (0.610, 0.257, 0.429)
Br (0.884, 0.056, 0.766)
Cu (0.950, 0.750, 0.250)
Cu (0.050, 0.250, 0.750)
Ga (0.833, 0.882, 0.959)
Ga (0.326, 0.382, 0.459)
Ga (0.674, 0.618, 0.541)
Ga (0.167, 0.118, 0.041)